Rb3InAg4 PBE optimized geometry; E = -2.12 eV/atom; total magnetization = 0.0000 μB/atom; symmetry = Imm2, No. 44; E_form = 1.10 kJ/mol of atoms; mass density = 4875 kg/m3
1.0
-3.504 3.882 5.026
3.504 -3.882 5.026
3.504 3.882 -5.026
Rb In Ag
3 1 4
direct
0.000 0.000 0.000
0.399 0.643 0.755
0.888 0.643 0.245
0.538 0.038 0.500
0.361 0.166 0.805
0.361 0.557 0.195
0.594 0.281 0.313
0.968 0.281 0.687